Material: Li2InIr2
Method: DFT, GGA-PBE
State: relaxed

The structure belongs to space group P4/mbm (No. 127); the cell edges are 6.575, 6.575 and 3.169 Å and the angles 90.00°, 90.00° and 90.00°. The inequivalent atoms are Li at (0.118, 0.382, 0.000), In at (0.000, 0.000, 0.000) and Ir at (0.177, 0.677, 0.500).



Material: NaEuGe4
Method: DFT, GGA-PBE
State: relaxed

The structure belongs to space group F-43m (No. 216); the cell edges are 8.061, 8.061 and 8.061 Å and the angles 90.00°, 90.00° and 90.00°. The inequivalent atoms are Na at (0.000, 0.000, 0.000), Eu at (0.250, 0.250, 0.250) and Ge at (0.125, 0.125, 0.625).



| no. | formation enthalpy at 0 K (eV/atom) |
| --- | --- |
| 1 | 0.0387 |
| 2 | -0.2218 |